[1]
VASP calculation (GGA-PBEsol) on crystalline Na3Sr4La3Ti10O30 at its relaxed geometry.

Theoretical density (Mg/m³): 5.14
Raw formation energy (eV/atom): -3.119
Space group: P1, No. 1
E_tot (eV per atom): -8.485
Total magnetic moment (μB/f.u.): 0.00

Lattice parameters (Å, degrees): 5.478 5.484 19.683 97.86 97.89 90.45
Atoms (fractional coordinates):
Na 0.000 0.000 0.000
Na 0.192 0.209 0.397
Na 0.596 0.607 0.199
Sr 0.302 0.302 0.597
Sr 0.404 0.401 0.798
Sr 0.803 0.804 0.598
Sr 0.903 0.901 0.799
La 0.100 0.100 0.196
La 0.505 0.497 0.998
La 0.693 0.710 0.396
Ti 0.048 0.548 0.099
Ti 0.144 0.654 0.297
Ti 0.244 0.751 0.496
Ti 0.353 0.852 0.697
Ti 0.450 0.949 0.900
Ti 0.550 0.048 0.098
Ti 0.643 0.157 0.298
Ti 0.747 0.256 0.495
Ti 0.852 0.351 0.698
Ti 0.951 0.449 0.900
O 0.024 0.506 0.511
O 0.099 0.603 0.687
O 0.105 0.109 0.698
O 0.149 0.655 0.199
O 0.162 0.669 0.397
O 0.197 0.734 0.915
O 0.233 0.240 0.902
O 0.277 0.281 0.100
O 0.330 0.772 0.084
O 0.335 0.838 0.598
O 0.372 0.886 0.800
O 0.397 0.939 0.315
O 0.435 0.437 0.299
O 0.488 0.013 0.482
O 0.527 0.533 0.495
O 0.544 0.052 0.000
O 0.560 0.073 0.199
O 0.605 0.609 0.700
O 0.611 0.113 0.710
O 0.678 0.685 0.901
O 0.714 0.190 0.888
O 0.750 0.252 0.397
O 0.771 0.283 0.598
O 0.790 0.343 0.115
O 0.838 0.842 0.101
O 0.884 0.885 0.298
O 0.927 0.374 0.281
O 0.934 0.438 0.800
O 0.962 0.479 0.000
O 0.984 0.990 0.497

[2]
VASP calculation (GGA-PBEsol) on crystalline FeCoRh2 at its relaxed geometry.

Theoretical density (Mg/m³): 10.93
Space group: Amm2, No. 38
DFT formation energy (kJ/mol of atoms): 7
E_tot (eV per atom): -8.173
Total magnetic moment (μB/f.u.): 4.36

Lattice parameters (Å, degrees): 3.920 4.947 4.947 30.51 90.00 90.00
Atoms (fractional coordinates):
Fe 0.000 0.000 0.000
Co 0.500 0.127 0.127
Rh 0.000 0.736 0.736
Rh 0.500 0.390 0.390

[3]
VASP calculation (GGA-PBEsol) on crystalline BeFeSb2O at its relaxed geometry.

Theoretical density (Mg/m³): 6.41
Raw formation energy (eV/atom): 0.341
Space group: P4/mmm, No. 123
E_tot (eV per atom): -5.124
Total magnetic moment (μB/f.u.): 0.00

Lattice parameters (Å, degrees): 4.631 4.631 3.921 90.00 90.00 90.00
Atoms (fractional coordinates):
Be 0.000 0.000 0.000
Fe 0.000 0.000 0.500
Sb 0.000 0.500 0.500
Sb 0.500 0.000 0.500
O 0.500 0.500 0.000

[4]
VASP calculation (GGA-PBEsol) on crystalline La2NiAu at its relaxed geometry.

Theoretical density (Mg/m³): 8.19
Space group: R3m, No. 160
DFT formation energy (kJ/mol of atoms): -33
E_tot (eV per atom): -5.540
Total magnetic moment (μB/f.u.): 0.00

Lattice parameters (Å, degrees): 6.969 6.969 6.969 36.68 36.68 36.68
Atoms (fractional coordinates):
La 0.000 0.000 0.000
La 0.179 0.179 0.179
Ni 0.759 0.759 0.759
Au 0.422 0.422 0.422

[5]
VASP calculation (GGA-PBEsol) on crystalline CdTe2Se at its relaxed geometry.

Theoretical density (Mg/m³): 6.50
Raw formation energy (eV/atom): 0.092
Space group: Pmmm, No. 47
E_tot (eV per atom): -2.933
Total magnetic moment (μB/f.u.): 0.00

Lattice parameters (Å, degrees): 3.974 4.057 7.079 90.00 90.00 90.00
Atoms (fractional coordinates):
Cd 0.000 0.000 0.000
Te 0.000 0.500 0.500
Te 0.500 0.500 0.000
Se 0.500 0.000 0.500

[6]
VASP calculation (GGA-PBEsol) on crystalline Li3Ni at its relaxed geometry.

Theoretical density (Mg/m³): 2.45
Space group: Immm, No. 71
DFT formation energy (kJ/mol of atoms): 11
E_tot (eV per atom): -2.895
Total magnetic moment (μB/f.u.): 0.00

Lattice parameters (Å, degrees): 5.215 5.215 5.215 150.68 128.67 60.21
Atoms (fractional coordinates):
Li 0.000 0.000 0.000
Li 0.270 0.770 0.500
Li 0.730 0.230 0.500
Ni 0.500 0.500 0.000

Listing N(E_F) for the structures above in their given order: 0.000; 1.527; 0.313; 1.087; 0.685; 0.434 states/eV/atom.